{"formula": "Ba2Sr5Ca5", "functional": "PBE", "state": "relaxed", "lattice": [[-0.404, -1.922, 5.490], [-3.736, -11.881, -1.338], [8.590, -1.595, 3.170]], "species": ["Ba", "Ba", "Sr", "Sr", "Sr", "Sr", "Sr", "Ca", "Ca", "Ca", "Ca", "Ca"], "fractional_positions": [[0.335, 0.503, 0.827], [0.665, 0.497, 0.173], [0.674, 0.240, 0.411], [0.008, 0.238, 0.745], [0.992, 0.762, 0.255], [0.326, 0.760, 0.589], [0.000, 0.000, 0.000], [0.000, 0.500, 0.500], [0.661, 0.760, 0.917], [0.334, 0.999, 0.333], [0.666, 0.001, 0.667], [0.339, 0.240, 0.083]], "e_above_lowest_polymorph_kj_per_mol_fu": 0, "dft_energy_ev_per_atom": -1.83, "sg": "No. 12", "dos_ef_per_ev_atom": 1.2302, "delta_e_f_kj_per_mol_atoms": 2.3}